# 1
# ZrBe2Pt, optimized geometry, DFT GGA-PBEsol
data_ZrBe2Pt
_chemical_formula_sum 'Zr3 Be6 Pt3'
_cell_length_a 3.8009
_cell_length_b 3.8009
_cell_length_c 13.0647
_cell_angle_alpha 90.00
_cell_angle_beta 90.00
_cell_angle_gamma 120.00
_symmetry_space_group_name_H-M 'R -3 m'
_symmetry_Int_Tables_number 166
_symmetry_space_group_name_Hall '-R 3 2"'
loop_
_atom_site_label
_atom_site_type_symbol
_atom_site_fract_x
_atom_site_fract_y
_atom_site_fract_z
Zr1 Zr 0.0000 0.0000 0.0000
Be1 Be 0.0000 0.0000 0.2084
Pt1 Pt 0.0000 0.0000 0.5000
# Offset from the most stable computed form (meV/atom): 0
# E_form (kJ/mol of atoms): -56


# 2
# LaFeW2, optimized geometry, DFT GGA-PBEsol
data_LaFeW2
_chemical_formula_sum 'La2 Fe2 W4'
_cell_length_a 2.768
_cell_length_b 4.656
_cell_length_c 10.872
_cell_angle_alpha 90.00
_cell_angle_beta 90.00
_cell_angle_gamma 90.00
_symmetry_space_group_name_H-M 'I m m m'
_symmetry_Int_Tables_number 71
_symmetry_space_group_name_Hall '-I 2 2'
loop_
_atom_site_label
_atom_site_type_symbol
_atom_site_fract_x
_atom_site_fract_y
_atom_site_fract_z
La1 La 0.000 0.000 0.000
Fe1 Fe 0.000 0.000 0.500
W1 W 0.000 0.500 0.203
# Offset from the most stable computed form (meV/atom): 163
# E_form (kJ/mol of atoms): 60